Entry 1:
VASP calculation (PBE) on a relaxed structure of RbGaI2Br.

Properties
DOS at the Fermi energy: 1.6 states/eV/cell
E_form (uncorrected): -0.895 eV per atom
size of the total moment: 0.00 Bohr magnetons per cell

Geometry as CIF:
```
data_RbGaI2Br
_space_group_name_H-M_alt 'P 4/m m m'
_space_group_IT_number 123
_space_group_name_Hall '-P 4 2'
_cell_length_a 5.874
_cell_length_b 5.874
_cell_length_c 5.503
_cell_angle_alpha 90.00
_cell_angle_beta 90.00
_cell_angle_gamma 90.00
loop_
_atom_site_label
_atom_site_fract_x
_atom_site_fract_y
_atom_site_fract_z
Rb1 0.000 0.000 0.000
Ga1 0.500 0.500 0.500
I1 0.000 0.500 0.500
Br1 0.500 0.500 0.000
```

=====

Entry 2:
VASP calculation (PBE) on a relaxed structure of Rb2GaI6Br.

Properties
DOS at the Fermi energy: 11.5 states/eV/cell
E_form (uncorrected): -0.640 eV per atom
size of the total moment: 0.00 Bohr magnetons per cell

Geometry as CIF:
```
data_Rb2GaI6Br
_space_group_name_H-M_alt 'I 4/m m m'
_space_group_IT_number 139
_space_group_name_Hall '-I 4 2'
_cell_length_a 8.339
_cell_length_b 8.339
_cell_length_c 12.617
_cell_angle_alpha 90.00
_cell_angle_beta 90.00
_cell_angle_gamma 90.00
loop_
_atom_site_label
_atom_site_fract_x
_atom_site_fract_y
_atom_site_fract_z
Rb1 0.000 0.500 0.250
Ga1 0.000 0.000 0.000
I1 0.000 0.000 0.223
I2 0.240 0.240 0.000
Br1 0.000 0.000 0.500
```

=====

Entry 3:
VASP calculation (PBE) on a relaxed structure of GaSb2IBr.

Properties
DOS at the Fermi energy: 3.8 states/eV/cell
E_form (uncorrected): 0.381 eV per atom
energy above the lowest structure with this stoichiometry: 0.000 eV/atom
size of the total moment: 0.83 Bohr magnetons per cell

Geometry as CIF:
```
data_GaSb2IBr
_space_group_name_H-M_alt 'P 4/m m m'
_space_group_IT_number 123
_space_group_name_Hall '-P 4 2'
_cell_length_a 5.457
_cell_length_b 5.457
_cell_length_c 5.528
_cell_angle_alpha 90.00
_cell_angle_beta 90.00
_cell_angle_gamma 90.00
loop_
_atom_site_label
_atom_site_fract_x
_atom_site_fract_y
_atom_site_fract_z
Ga1 0.000 0.000 0.000
Sb1 0.000 0.500 0.000
I1 0.000 0.000 0.500
Br1 0.500 0.500 0.500
```

=====

Entry 4:
VASP calculation (PBE) on a relaxed structure of GaSbI2Br.

Properties
DOS at the Fermi energy: 4.0 states/eV/cell
E_form (uncorrected): 0.483 eV per atom
energy above the lowest structure with this stoichiometry: 0.274 eV/atom
size of the total moment: 2.33 Bohr magnetons per cell

Geometry as CIF:
```
data_GaSbI2Br
_space_group_name_H-M_alt 'P 4/m m m'
_space_group_IT_number 123
_space_group_name_Hall '-P 4 2'
_cell_length_a 6.586
_cell_length_b 6.586
_cell_length_c 5.466
_cell_angle_alpha 90.00
_cell_angle_beta 90.00
_cell_angle_gamma 90.00
loop_
_atom_site_label
_atom_site_fract_x
_atom_site_fract_y
_atom_site_fract_z
Ga1 0.000 0.000 0.000
Sb1 0.500 0.500 0.000
I1 0.000 0.500 0.500
Br1 0.500 0.500 0.500
```

=====

Entry 5:
VASP calculation (PBE) on a relaxed structure of GaSb2IBr.

Properties
DOS at the Fermi energy: 2.6 states/eV/cell
E_form (uncorrected): 0.659 eV per atom
energy above the lowest structure with this stoichiometry: 0.279 eV/atom
size of the total moment: 2.27 Bohr magnetons per cell

Geometry as CIF:
```
data_GaSb2IBr
_space_group_name_H-M_alt 'P 4/m m m'
_space_group_IT_number 123
_space_group_name_Hall '-P 4 2'
_cell_length_a 5.492
_cell_length_b 5.492
_cell_length_c 7.445
_cell_angle_alpha 90.00
_cell_angle_beta 90.00
_cell_angle_gamma 90.00
loop_
_atom_site_label
_atom_site_fract_x
_atom_site_fract_y
_atom_site_fract_z
Ga1 0.000 0.000 0.000
Sb1 0.000 0.500 0.500
I1 0.500 0.500 0.000
Br1 0.500 0.500 0.500
```

=====

Entry 6:
VASP calculation (PBE) on a relaxed structure of GaSbI2Br.

Properties
DOS at the Fermi energy: 3.3 states/eV/cell
E_form (uncorrected): 0.209 eV per atom
energy above the lowest structure with this stoichiometry: 0.000 eV/atom
size of the total moment: 0.00 Bohr magnetons per cell

Geometry as CIF:
```
data_GaSbI2Br
_space_group_name_H-M_alt 'P 4/m m m'
_space_group_IT_number 123
_space_group_name_Hall '-P 4 2'
_cell_length_a 5.500
_cell_length_b 5.500
_cell_length_c 5.675
_cell_angle_alpha 90.00
_cell_angle_beta 90.00
_cell_angle_gamma 90.00
loop_
_atom_site_label
_atom_site_fract_x
_atom_site_fract_y
_atom_site_fract_z
Ga1 0.000 0.000 0.000
Sb1 0.000 0.000 0.500
I1 0.000 0.500 0.000
Br1 0.500 0.500 0.500
```

=====

Entry 7:
VASP calculation (PBE) on a relaxed structure of ScGaIBr2.

Properties
DOS at the Fermi energy: 3.1 states/eV/cell
E_form (uncorrected): -0.858 eV per atom
size of the total moment: 0.92 Bohr magnetons per cell

Geometry as CIF:
```
data_ScGaIBr2
_space_group_name_H-M_alt 'P 4/m m m'
_space_group_IT_number 123
_space_group_name_Hall '-P 4 2'
_cell_length_a 5.317
_cell_length_b 5.317
_cell_length_c 5.929
_cell_angle_alpha 90.00
_cell_angle_beta 90.00
_cell_angle_gamma 90.00
loop_
_atom_site_label
_atom_site_fract_x
_atom_site_fract_y
_atom_site_fract_z
Sc1 0.000 0.000 0.000
Ga1 0.500 0.500 0.500
I1 0.000 0.000 0.500
Br1 0.000 0.500 0.000
```

=====

Entry 8:
VASP calculation (PBE) on a relaxed structure of ScGaI2Br.

Properties
DOS at the Fermi energy: 3.4 states/eV/cell
E_form (uncorrected): -0.728 eV per atom
size of the total moment: 0.98 Bohr magnetons per cell

Geometry as CIF:
```
data_ScGaI2Br
_space_group_name_H-M_alt 'P 4/m m m'
_space_group_IT_number 123
_space_group_name_Hall '-P 4 2'
_cell_length_a 5.853
_cell_length_b 5.853
_cell_length_c 5.266
_cell_angle_alpha 90.00
_cell_angle_beta 90.00
_cell_angle_gamma 90.00
loop_
_atom_site_label
_atom_site_fract_x
_atom_site_fract_y
_atom_site_fract_z
Sc1 0.000 0.000 0.000
Ga1 0.500 0.500 0.500
I1 0.000 0.500 0.000
Br1 0.000 0.000 0.500
```

=====

Entry 9:
VASP calculation (PBE) on a relaxed structure of GaSe2IBr.

Properties
DOS at the Fermi energy: 4.5 states/eV/cell
E_form (uncorrected): 0.204 eV per atom
energy above the lowest structure with this stoichiometry: 0.000 eV/atom
size of the total moment: 0.00 Bohr magnetons per cell

Geometry as CIF:
```
data_GaSe2IBr
_space_group_name_H-M_alt 'P 4/m m m'
_space_group_IT_number 123
_space_group_name_Hall '-P 4 2'
_cell_length_a 5.177
_cell_length_b 5.177
_cell_length_c 5.018
_cell_angle_alpha 90.00
_cell_angle_beta 90.00
_cell_angle_gamma 90.00
loop_
_atom_site_label
_atom_site_fract_x
_atom_site_fract_y
_atom_site_fract_z
Ga1 0.000 0.000 0.000
Se1 0.000 0.500 0.000
I1 0.500 0.500 0.500
Br1 0.000 0.000 0.500
```

=====

Entry 10:
VASP calculation (PBE) on a relaxed structure of GaSe2IBr.

Properties
DOS at the Fermi energy: 2.6 states/eV/cell
E_form (uncorrected): 0.396 eV per atom
energy above the lowest structure with this stoichiometry: 0.192 eV/atom
size of the total moment: 0.00 Bohr magnetons per cell

Geometry as CIF:
```
data_GaSe2IBr
_space_group_name_H-M_alt 'P 4/m m m'
_space_group_IT_number 123
_space_group_name_Hall '-P 4 2'
_cell_length_a 5.436
_cell_length_b 5.436
_cell_length_c 5.847
_cell_angle_alpha 90.00
_cell_angle_beta 90.00
_cell_angle_gamma 90.00
loop_
_atom_site_label
_atom_site_fract_x
_atom_site_fract_y
_atom_site_fract_z
Ga1 0.000 0.000 0.000
Se1 0.000 0.500 0.500
I1 0.500 0.500 0.500
Br1 0.500 0.500 0.000
```

=====

Entry 11:
VASP calculation (PBE) on a relaxed structure of Ga2SnI2Br2.

Properties
DOS at the Fermi energy: 0.0 states/eV/cell
E_form (uncorrected): -0.499 eV per atom
size of the total moment: 0.00 Bohr magnetons per cell

Geometry as CIF:
```
data_Ga2SnI2Br2
_space_group_name_H-M_alt 'P -1'
_space_group_IT_number 2
_space_group_name_Hall '-P 1'
_cell_length_a 4.347
_cell_length_b 8.121
_cell_length_c 8.149
_cell_angle_alpha 112.31
_cell_angle_beta 90.30
_cell_angle_gamma 105.14
loop_
_atom_site_label
_atom_site_fract_x
_atom_site_fract_y
_atom_site_fract_z
Ga1 0.138 0.264 0.044
Sn1 0.000 0.000 0.500
I1 0.215 0.435 0.750
Br1 0.487 0.968 0.743
```

=====

Entry 12:
VASP calculation (PBE) on a relaxed structure of GaSnIBr4.

Properties
DOS at the Fermi energy: 0.0 states/eV/cell
E_form (uncorrected): -0.739 eV per atom
size of the total moment: 0.00 Bohr magnetons per cell

Geometry as CIF:
```
data_GaSnIBr4
_space_group_name_H-M_alt 'C 1 2/m 1'
_space_group_IT_number 12
_space_group_name_Hall '-C 2y'
_cell_length_a 15.502
_cell_length_b 9.645
_cell_length_c 10.598
_cell_angle_alpha 90.00
_cell_angle_beta 120.00
_cell_angle_gamma 90.00
loop_
_atom_site_label
_atom_site_fract_x
_atom_site_fract_y
_atom_site_fract_z
Ga1 0.193 0.000 0.335
Sn1 0.132 0.500 0.220
I1 0.086 0.500 0.896
Br1 0.121 0.000 0.482
Br2 0.130 0.500 0.512
Br3 0.145 0.190 0.168
```

=====

Which value of DOS at the Fermi energy does entry 1 give?
1.6 states/eV/cell

=====

The highest E_form (uncorrected) belongs to which entry?
number 5

=====

size of the total moment of number 9 (GaSe2IBr)?
0.00 Bohr magnetons per cell